(1)
CsRu: optimized geometry, PBE.

Cell and atoms, written as POSCAR:
```
CsRu
1.0
6.410 0.000 0.000
0.000 6.410 0.000
0.000 0.000 6.410
Cs Ru
4 4
Direct
0.000 0.000 0.000
0.000 0.500 0.500
0.500 0.000 0.500
0.500 0.500 0.000
0.250 0.250 0.250
0.250 0.750 0.750
0.750 0.250 0.750
0.750 0.750 0.250
```

crystal system: cubic


(2)
CsRu: optimized geometry, PBE.

Cell and atoms, written as POSCAR:
```
CsRu
1.0
-1.768 -3.660 -0.549
0.638 -3.012 2.710
-8.950 1.132 6.264
Cs Ru
2 2
Direct
0.412 0.924 0.260
0.588 0.076 0.740
0.174 0.673 0.979
0.826 0.327 0.021
```

crystal system: triclinic


(3)
CsRu: optimized geometry, PBE.

Cell and atoms, written as POSCAR:
```
CsRu
1.0
-3.861 -0.780 0.841
0.649 -9.171 -5.531
5.753 -2.593 4.974
Cs Ru
4 4
Direct
0.246 0.190 0.299
0.246 0.810 0.299
0.246 0.690 0.799
0.246 0.310 0.799
0.736 0.000 0.797
0.736 0.500 0.297
0.079 0.000 0.638
0.079 0.500 0.138
```

crystal system: monoclinic


(4)
CsRu: optimized geometry, PBE.

Cell and atoms, written as POSCAR:
```
CsRu
1.0
-3.621 10.096 -2.968
-0.257 -1.235 -3.888
-6.128 -3.210 1.425
Cs Ru
4 4
Direct
0.697 0.000 0.559
0.697 0.500 0.059
0.232 0.000 0.047
0.232 0.500 0.547
0.974 0.000 0.306
0.974 0.500 0.806
0.934 0.000 0.961
0.934 0.500 0.461
```

crystal system: monoclinic


In order of appearance, density = 5.90 4.96 5.15 4.92 g/cm³.
In order of appearance, total energy = -2.57 -4.34 -4.03 -4.30 eV per atom.